DFT (PBE-GGA) results for a relaxed structure of TeSeCl.

abc: 14.1239 3.8012 3.5431
angles: 90.00 103.94 90.00
Atoms (fractional coordinates):
Te  0.0000  0.0000  0.0000
Te  0.5000  0.5000  0.0000
Se  0.1349  0.5000  0.1282
Se  0.6349  0.0000  0.1282
Cl  0.3536  0.0000  0.8620
Cl  0.8536  0.5000  0.8620

Calculated values
Fermi-level density of states   0.48 states/eV/f.u.
M_tot   0.00 μB/f.u.
Formation energy from raw total energies   -4.971 kcal/mol of atoms
VASP energy   -9.1 eV/f.u.
Excess energy over the best structure of this formula in the dataset   0.106 eV per formula unit